(1)
Computed, not measured: a geometry-optimized Ac3MgPa2N6 structure at the PBE level of DFT.

Cell lengths 6.2071, 6.2071, 6.5284 Å; angles 99.04, 99.04, 120.10 degrees
Fractional positions:
N  0.9331  0.5806  0.7994
N  0.0669  0.4194  0.2006
N  0.4194  0.0669  0.2006
N  0.5806  0.9331  0.7994
N  0.7147  0.7147  0.1977
N  0.2853  0.2853  0.8023
Mg  0.0000  0.0000  0.0000
Ac  0.1641  0.8359  0.5000
Ac  0.5000  0.5000  0.5000
Ac  0.8359  0.1641  0.5000
Pa  0.3333  0.6667  0.0000
Pa  0.6667  0.3333  0.0000

Summary:
ΔE_f (raw)	-1.22	eV/atom
final energy	-97.5	eV/f.u.
symmetry	C2/m

***

(2)
Computed, not measured: a geometry-optimized AcLaPr5 structure at the PBE level of DFT.

Cell lengths 6.1574, 8.3086, 8.3086 Å; angles 67.24, 68.25, 68.25 degrees
Site moments in Bohr magnetons follow the coordinates.
Fractional positions:
La  0.0000  0.0000  0.0000  0.01
Pr  0.7603  0.2397  0.2397  0.00
Pr  0.0000  0.5000  0.5000  0.06
Pr  0.2397  0.7603  0.7603  0.00
Pr  0.5000  0.8296  0.1704  0.00
Pr  0.5000  0.1704  0.8296  0.00
Ac  0.5000  0.5000  0.5000  0.03

Summary:
relative energy among the computed polymorphs	999	meV/atom
E_form	24.800	kcal/mol of atoms
final energy	-25.4	eV/f.u.
symmetry	Immm

***

(3)
Computed, not measured: a geometry-optimized CeZnCo structure at the PBE level of DFT.

Cell lengths 4.3958, 4.3958, 4.3958 Å; angles 60.00, 60.00, 60.00 degrees
Fractional positions:
Ce  0.0000  0.0000  0.0000
Co  0.2500  0.2500  0.2500
Zn  0.5000  0.5000  0.5000

Summary:
E_form	-2.339	kcal/mol of atoms
final energy	-14.6	eV/f.u.
symmetry	F-43m

***

(4)
Computed, not measured: a geometry-optimized ScBiNF2 structure at the PBE level of DFT.

Cell lengths 4.5169, 4.5169, 4.6017 Å; angles 90.00, 90.00, 90.00 degrees
Site moments in Bohr magnetons follow the coordinates.
Fractional positions:
F  0.5000  0.0000  0.0000  0.02
F  0.0000  0.5000  0.0000  0.02
N  0.0000  0.0000  0.5000  -0.03
Bi  0.0000  0.0000  0.0000  0.03
Sc  0.5000  0.5000  0.5000  0.88

Summary:
relative energy among the computed polymorphs	1061	meV/atom
ΔE_f (raw)	-0.65	eV/atom
final energy	-25.5	eV/f.u.
symmetry	P4/mmm

***

(5)
Computed, not measured: a geometry-optimized HoPbS structure at the PBE level of DFT.

Cell lengths 4.6951, 4.6871, 7.9445 Å; angles 90.00, 90.00, 90.00 degrees
Fractional positions:
Ho  0.0000  0.5000  0.3387
Ho  0.5000  0.0000  0.6613
S  0.0000  0.0000  0.5005
S  0.5000  0.5000  0.4995
Pb  0.5000  0.5000  0.0000
Pb  0.0000  0.0000  0.0000

Summary:
ΔE_f (raw)	-1.12	eV/atom
final energy	-15.8	eV/f.u.
symmetry	P4/nmm

***

(6)
Computed, not measured: a geometry-optimized ZrRh2Pb2 structure at the PBE level of DFT.

Cell lengths 6.9408, 6.9408, 4.3779 Å; angles 90.00, 90.00, 90.00 degrees
Fractional positions:
Rh  0.6361  0.1361  0.0000
Rh  0.8639  0.6361  0.0000
Rh  0.3639  0.8639  0.0000
Rh  0.1361  0.3639  0.0000
Pb  0.6727  0.8273  0.5000
Pb  0.8273  0.3273  0.5000
Pb  0.1727  0.6727  0.5000
Pb  0.3273  0.1727  0.5000
Zr  0.5000  0.5000  0.0000
Zr  0.0000  0.0000  0.0000

Summary:
E_form	-3.078	kcal/mol of atoms
final energy	-31.3	eV/f.u.
symmetry	P4/mbm

***

(7)
Computed, not measured: a geometry-optimized ScCu2Si structure at the PBE level of DFT.

Cell lengths 5.3430, 5.3430, 2.7520 Å; angles 76.30, 76.30, 119.29 degrees
Site moments in Bohr magnetons follow the coordinates.
Fractional positions:
Cu  0.0000  0.0000  0.0000  0.00
Cu  0.5000  0.5000  0.0000  0.00
Sc  0.5000  0.0000  0.5000  0.15
Si  0.0000  0.5000  0.5000  0.00

Summary:
ΔE_f (raw)	-0.05	eV/atom
final energy	-20.1	eV/f.u.
symmetry	C2/m

***

(8)
Computed, not measured: a geometry-optimized Zn3PdPt structure at the PBE level of DFT.

Cell lengths 4.4625, 4.4635, 7.6233 Å; angles 90.00, 106.99, 90.00 degrees
Fractional positions:
Zn  0.2628  0.8444  0.8067
Zn  0.7627  0.3443  0.8079
Zn  0.4638  0.8450  0.2083
Zn  0.0624  0.8439  0.4057
Zn  0.5620  0.3449  0.4064
Zn  0.9633  0.3439  0.2089
Pd  0.3644  0.3448  0.0110
Pd  0.6612  0.8447  0.6035
Pt  0.1588  0.3441  0.5997
Pt  0.8668  0.8440  0.0148

Summary:
relative energy among the computed polymorphs	0	meV/atom
E_form	-10.613	kcal/mol of atoms
final energy	-17.4	eV/f.u.
symmetry	Cmcm

***

(9)
Computed, not measured: a geometry-optimized Pa2NiPd9 structure at the PBE level of DFT.

Cell lengths 4.1264, 4.1264, 11.8540 Å; angles 90.00, 90.00, 90.00 degrees
Site moments in Bohr magnetons follow the coordinates.
Fractional positions:
Pd  0.0000  0.5000  0.8425  0.03
Pd  0.5000  0.0000  0.1575  0.03
Pd  0.5000  0.0000  0.8425  0.03
Pd  0.5000  0.5000  0.0000  0.11
Pd  0.0000  0.5000  0.1575  0.03
Pd  0.5000  0.5000  0.6700  0.01
Pd  0.5000  0.0000  0.5000  0.00
Pd  0.0000  0.5000  0.5000  0.00
Pd  0.5000  0.5000  0.3300  0.01
Ni  0.0000  0.0000  0.0000  0.78
Pa  0.0000  0.0000  0.3164  0.00
Pa  0.0000  0.0000  0.6836  0.00

Summary:
E_form	-12.683	kcal/mol of atoms
final energy	-78.1	eV/f.u.
symmetry	P4/mmm

***

(10)
Computed, not measured: a geometry-optimized La6Ag7 structure at the PBE level of DFT.

Cell lengths 11.4726, 11.4726, 11.4726 Å; angles 30.10, 30.10, 30.10 degrees
Fractional positions:
Ag  0.5000  0.5000  0.5000
Ag  0.0982  0.5909  0.5909
Ag  0.4091  0.4091  0.9018
Ag  0.5909  0.0982  0.5909
Ag  0.5909  0.5909  0.0982
Ag  0.4091  0.9018  0.4091
Ag  0.9018  0.4091  0.4091
La  0.9463  0.9463  0.9463
La  0.8424  0.8424  0.8424
La  0.6701  0.6701  0.6701
La  0.3299  0.3299  0.3299
La  0.0537  0.0537  0.0537
La  0.1576  0.1576  0.1576

Summary:
E_form	-3.939	kcal/mol of atoms
final energy	-51.7	eV/f.u.
symmetry	R-3m

***

(11)
Computed, not measured: a geometry-optimized Fe3ReBi structure at the PBE level of DFT.

Cell lengths 4.5948, 4.5948, 4.5948 Å; angles 90.00, 90.00, 90.00 degrees
Site moments in Bohr magnetons follow the coordinates.
Fractional positions:
Fe  0.0000  0.5000  0.0000  2.19
Fe  0.5000  0.0000  0.0000  1.89
Fe  0.0000  0.0000  0.5000  2.38
Re  0.0000  0.0000  0.0000  -0.32
Bi  0.5000  0.5000  0.5000  -0.12

Summary:
E_form	29.530	kcal/mol of atoms
final energy	-35.3	eV/f.u.
symmetry	Pm-3m

***

(12)
Computed, not measured: a geometry-optimized Pa3Al2Ir3 structure at the PBE level of DFT.

Cell lengths 5.6516, 8.1160, 8.1160 Å; angles 120.00, 90.00, 90.00 degrees
Fractional positions:
Al  0.0000  0.6667  0.3333
Al  0.5000  0.6667  0.3333
Al  0.5000  0.3333  0.6667
Al  0.0000  0.3333  0.6667
Ir  0.2500  0.6126  0.6126
Ir  0.7500  0.3874  0.3874
Ir  0.7500  0.0000  0.6126
Ir  0.2500  0.3874  0.0000
Ir  0.7500  0.6126  0.0000
Ir  0.2500  0.0000  0.3874
Pa  0.7500  0.0000  0.2691
Pa  0.7500  0.7309  0.7309
Pa  0.7500  0.2691  0.0000
Pa  0.2500  0.0000  0.7309
Pa  0.2500  0.7309  0.0000
Pa  0.2500  0.2691  0.2691

Summary:
E_form	-17.960	kcal/mol of atoms
final energy	-68.8	eV/f.u.
symmetry	P6_3/mcm

***

Calculated total magnetic moment, 0.000, 0.188, 0.001, 1.236, 0.000, 0.000, 0.191, 0.000, 1.072, 0.000, 6.163, 0.000 μB per formula unit (same order as the records).